(1)
The following is a PBE-GGA calculation of a geometry-optimized CeTmInPb structure, from Alexandria via LeMat-Bulk.

Results
crystal system: cubic
polymorph energy (0 for the lowest one): 30 meV/atom
ΔE_f: -0.3517 eV per atom
V: 28.2 A^3/atom

Lattice parameters (Å, degrees): 5.4218 5.4218 5.4218 60.00 60.00 60.00
With the nearest neighbours (Å) after each atom.
Fractional coordinates of all 4 atoms:
Ce  0.0000  0.0000  0.0000  4 In 3.32, 4 Pb 3.32
Tm  0.5000  0.5000  0.5000  4 Pb 3.32, 4 In 3.32
In  0.7500  0.7500  0.7500  4 Tm 3.32, 4 Ce 3.32
Pb  0.2500  0.2500  0.2500  4 Tm 3.32, 4 Ce 3.32

(2)
The following is a PBE-GGA calculation of a geometry-optimized AcErTe2Se structure, from Alexandria via LeMat-Bulk.

Results
crystal system: tetragonal
formation energy without anion corrections: -1.454 eV/atom
V: 32.3 A^3/atom

Lattice parameters (Å, degrees): 4.5094 4.5094 15.8667 90.00 90.00 90.00
With the nearest neighbours (Å) after each atom.
Fractional coordinates of all 10 atoms:
Ac  0.2500  0.2500  0.1336  4 Se 3.09, 4 Te 3.46
Ac  0.7500  0.7500  0.8664  4 Se 3.09, 4 Te 3.46
Er  0.2500  0.2500  0.5927  6 Te 2.99-3.19
Er  0.7500  0.7500  0.4073  6 Te 2.99-3.19
Te  0.2500  0.2500  0.3989  5 Er 3.07-3.19
Te  0.2500  0.2500  0.7813  1 Er 2.99
Te  0.7500  0.7500  0.2187  1 Er 2.99
Te  0.7500  0.7500  0.6011  5 Er 3.07-3.19
Se  0.2500  0.7500  0.0000  4 Ac 3.09, 4 Se 3.19
Se  0.7500  0.2500  0.0000  4 Ac 3.09, 4 Se 3.19

(3)
The following is a PBE-GGA calculation of a geometry-optimized Pr2PdAu structure, from Alexandria via LeMat-Bulk.

Results
crystal system: trigonal
ΔE_f: -0.6680 eV per atom
V: 28.4 A^3/atom

Lattice parameters (Å, degrees): 7.6733 7.6733 7.6733 32.12 32.12 32.12
With the nearest neighbours (Å) after each atom.
Fractional coordinates of all 4 atoms:
Pr  0.0000  0.0000  0.0000  3 Pd 2.95, 3 Au 3.13
Pr  0.1797  0.1797  0.1797  3 Pd 2.98, 3 Au 3.15
Pd  0.5910  0.5910  0.5910  6 Pr 2.95-2.98
Au  0.7556  0.7556  0.7556  6 Pr 3.13-3.15